First-principles (GGA-PBE) data for a geometry-optimized ThSi2Au structure, as listed in Alexandria via LeMat-Bulk.

Calculated values
Its density of states at the Fermi level is 3.549 states/eV/cell. The spin magnetization comes out at 0.00 μB per formula unit. As for the uncorrected formation energy: -0.7 eV/f.u. As for the symmetry: No. 166.

Unit cell a=5.1809 b=5.1809 c=4.6774 alpha=56.37 beta=56.37 gamma=60.00
Last column: nearest neighbours and their distance in Å.
Fractional positions:
Si (0.2292, 0.2292, 0.3124)  1 Au 2.47
Si (0.7708, 0.7708, 0.6876)  1 Au 2.47
Au (0.0000, 0.0000, 0.0000)  2 Si 2.47
Th (0.5000, 0.5000, 0.5000)  8 Si 2.92-3.07